Entry 1:
{"formula": "TlTeMo2O8", "functional": "PBE with a Hubbard U", "state": "optimized geometry", "cell": [[5.950, 0.000, 0.000], [-2.975, 5.153, 0.000], [0.000, 0.000, 7.923]], "species": ["Tl", "Te", "Mo", "Mo", "O", "O", "O", "O", "O", "O", "O", "O"], "frac_coords": [[0.000, 0.000, 0.000], [0.000, 0.000, 0.500], [0.333, 0.667, 0.250], [0.667, 0.333, 0.750], [0.163, 0.327, 0.324], [0.163, 0.837, 0.324], [0.327, 0.163, 0.676], [0.333, 0.667, 0.029], [0.667, 0.333, 0.971], [0.673, 0.837, 0.324], [0.837, 0.163, 0.676], [0.837, 0.673, 0.676]], "dos_ef_per_ev_atom": 0.25, "spacegroup": "P-3m1", "magmom_total_mub_per_atom": 0.08, "e_tot_ev_per_atom": -6.19}

=====

Entry 2:
{"formula": "Sr6MgW4O18", "functional": "PBE with a Hubbard U", "state": "optimized geometry", "cell": [[6.925, 0.000, 0.000], [0.927, 7.809, 0.000], [1.074, 2.311, 8.459]], "species": ["Sr", "Sr", "Sr", "Sr", "Sr", "Sr", "Mg", "W", "W", "W", "W", "O", "O", "O", "O", "O", "O", "O", "O", "O", "O", "O", "O", "O", "O", "O", "O", "O", "O"], "frac_coords": [[0.099, 0.243, 0.010], [0.240, 0.181, 0.489], [0.383, 0.744, 0.243], [0.617, 0.256, 0.757], [0.760, 0.819, 0.511], [0.901, 0.757, 0.990], [0.500, 0.500, 0.000], [0.180, 0.611, 0.676], [0.359, 0.846, 0.825], [0.641, 0.154, 0.175], [0.820, 0.389, 0.324], [0.081, 0.402, 0.244], [0.132, 0.887, 0.687], [0.136, 0.690, 0.466], [0.208, 0.928, 0.992], [0.231, 0.602, 0.915], [0.254, 0.368, 0.699], [0.446, 0.260, 0.017], [0.460, 0.667, 0.669], [0.482, 0.989, 0.319], [0.518, 0.011, 0.681], [0.540, 0.333, 0.331], [0.554, 0.740, 0.983], [0.746, 0.632, 0.301], [0.769, 0.398, 0.085], [0.792, 0.072, 0.008], [0.864, 0.310, 0.534], [0.868, 0.113, 0.313], [0.919, 0.598, 0.756]], "dos_ef_per_ev_atom": 0.00, "spacegroup": "P-1", "magmom_total_mub_per_atom": 0.07, "e_tot_ev_per_atom": -6.98}